Entry from Alexandria: a geometry-optimized Sn4GePt2 structure (PBE).

abc: 6.8763 6.8758 8.2762
angles: 69.40 69.39 98.79
Closest atoms and distances in Å follow each position.
Sites, in units of the cell vectors:
Ge 0.9051 0.9052 0.0004  2 Pt 2.51
Ge 0.1561 0.6562 0.4996  2 Pt 2.51
Sn 0.4541 0.7299 0.6546  2 Pt 2.71-2.72, 1 Ge 2.84
Sn 0.4315 0.6708 0.1313  3 Pt 2.71-2.86, 2 Ge 2.92-3.01
Sn 0.9800 0.2041 0.1546  2 Pt 2.71-2.72, 1 Ge 2.85
Sn 0.8129 0.5522 0.3688  3 Pt 2.71-2.85, 2 Ge 2.92-3.01
Sn 0.9210 0.1816 0.6314  3 Pt 2.71-2.85, 2 Ge 2.93-3.02
Sn 0.8025 0.5630 0.8685  3 Pt 2.71-2.85, 2 Ge 2.93-3.01
Sn 0.3848 0.1090 0.3452  2 Pt 2.71, 1 Ge 2.84
Sn 0.3585 0.1344 0.8455  2 Pt 2.71-2.72, 1 Ge 2.85
Pt 0.3734 0.3938 0.5046  1 Ge 2.51, 3 Sn 2.71
Pt 0.6438 0.1235 0.0044  1 Ge 2.51, 3 Sn 2.71-2.72
Pt 0.8983 0.8780 0.4956  1 Ge 2.51, 3 Sn 2.71-2.72
Pt 0.1280 0.6483 0.9955  1 Ge 2.51, 3 Sn 2.71-2.72

## Properties
Energy of formation, eV/atom: -0.298
Calculated total energy, eV per cell: -69.6